First-principles (GGA-PBE) data for a geometry-optimized Sr2ScCu structure, as listed in the Alexandria database.

Structure (POSCAR):
```
Sr2ScCu
1.0
-1.891 -1.694 5.065
-5.180 1.499 1.736
-4.110 -3.885 0.335
Cu Sr Sc
1 2 1
direct
0.500 0.500 0.500
0.250 0.250 0.250
0.750 0.750 0.750
0.000 0.000 0.000
```

Output
Formation enthalpy at 0 K (eV per atom): 0.4344
Energy above the most stable polymorph in this dataset (kJ/mol of atoms): 34.92
Space group: No. 225
N(E_F) (states/eV per cell): 4.16
Magnetic moment (μB/atom): 0.000
DFT total energy (eV/atom): -3.01

First-principles (GGA-PBE) data for a geometry-optimized TaV2H structure, as listed in the Alexandria database.

Structure (POSCAR):
```
TaV2H
1.0
5.224 0.000 0.000
0.000 5.224 0.000
2.612 2.612 3.694
H V Ta
2 4 2
direct
0.500 0.500 0.000
0.250 0.750 0.500
0.875 0.625 0.750
0.375 0.625 0.250
0.375 0.125 0.250
0.375 0.625 0.750
0.000 0.000 0.000
0.750 0.250 0.500
```

Output
Energy above the most stable polymorph in this dataset (kJ/mol of atoms): 0.00
Space group: No. 227
N(E_F) (states/eV per cell): 0.39
Magnetic moment (μB/atom): 0.000
DFT total energy (eV/atom): -8.37

First-principles (GGA-PBE) data for a geometry-optimized Y3Mg2Sc structure, as listed in the Alexandria database.

Structure (POSCAR):
```
Y3Mg2Sc
1.0
3.655 0.000 0.000
0.000 3.655 0.000
0.000 0.000 12.570
Y Mg Sc
3 2 1
direct
0.000 0.000 0.329
0.000 0.000 0.671
0.000 0.000 0.000
0.500 0.500 0.837
0.500 0.500 0.163
0.500 0.500 0.500
```

Output
Formation enthalpy at 0 K (eV per atom): -0.0438
Space group: No. 123
N(E_F) (states/eV per cell): 9.93
Magnetic moment (μB/atom): 0.040
DFT total energy (eV/atom): -4.86

First-principles (GGA-PBE) data for a geometry-optimized KAcP4 structure, as listed in the Alexandria database.

Structure (POSCAR):
```
KAcP4
1.0
-3.807 1.570 3.811
-4.561 -3.149 0.872
-0.542 -2.889 4.779
Ac K P
1 1 4
direct
0.250 0.250 0.250
0.000 0.000 0.000
0.634 0.634 0.098
0.634 0.634 0.634
0.098 0.634 0.634
0.634 0.098 0.634
```

Output
Formation enthalpy at 0 K (eV per atom): -0.2108
Space group: No. 216
N(E_F) (states/eV per cell): 2.82
Magnetic moment (μB/atom): 0.000
DFT total energy (eV/atom): -4.69